# Tb5NdGa4

A relaxed structure of Tb5NdGa4 (PBE-GGA, the Alexandria database).

The value obtained for the energy of formation is -271 meV per atom. As for the total magnetization: 0.0 μB/f.u. Its crystal system is monoclinic. As for the total energy: -0.157 Ha/atom.

The space group is C2/m (No. 12) and the conventional cell measures 17.484, 3.725 and 8.821 Å, with angles of 90.00, 97.50 and 90.00 degrees. The distinct sites, in fractional coordinates, are Tb at (0.000, 0.000, 0.000), Tb at (0.150, 0.500, 0.275), Tb at (0.188, 0.500, 0.838), Nd at (0.000, 0.000, 0.500), Ga at (0.023, 0.500, 0.764) and Ga at (0.188, 0.000, 0.553).

# TbYNiPd

A relaxed structure of TbYNiPd (PBE-GGA, the Alexandria database).

The value obtained for the energy of formation is -654 meV per atom. As for the total magnetization: 0.0 μB/f.u. Its crystal system is orthorhombic. As for the total energy: -0.227 Ha/atom. Its energy relative to the lowest polymorph listed for this composition is 0.0 meV per atom.

The space group is Amm2 (No. 38) and the conventional cell measures 4.368, 3.796 and 10.421 Å, with angles of 90.00, 90.00 and 90.00 degrees. The distinct sites, in fractional coordinates, are Tb at (0.000, 0.000, 0.000), Y at (0.500, 0.000, 0.279), Ni at (0.500, 0.000, 0.558) and Pd at (0.000, 0.000, 0.716).

# InAs2Pb

A relaxed structure of InAs2Pb (PBE-GGA, the Alexandria database).

The value obtained for the energy of formation is 51 meV per atom. As for the total magnetization: 0.0 μB/f.u. Its crystal system is monoclinic. As for the total energy: -0.143 Ha/atom. Its energy relative to the lowest polymorph listed for this composition is 60.2 meV per atom.

The space group is P2/m (No. 10) and the conventional cell measures 5.106, 4.230 and 5.188 Å, with angles of 90.00, 106.46 and 90.00 degrees. The distinct sites, in fractional coordinates, are In at (0.000, 0.000, 0.000), As at (0.288, 0.500, 0.815) and Pb at (0.500, 0.000, 0.500).

# ZnReB2O

A relaxed structure of ZnReB2O (PBE-GGA, the Alexandria database).

As for the total magnetization: 0.0 μB/f.u. Its crystal system is tetragonal. The calculation puts the formation energy from raw total energies at 1.762 eV/atom. As for the total energy: -0.171 Ha/atom.

The space group is P4/mmm (No. 123) and the conventional cell measures 3.973, 3.973 and 3.620 Å, with angles of 90.00, 90.00 and 90.00 degrees. The distinct sites, in fractional coordinates, are Zn at (0.000, 0.000, 0.000), Re at (0.500, 0.500, 0.500), B at (0.000, 0.500, 0.000) and O at (0.000, 0.000, 0.500).

# Th6SiGe3Se2

A relaxed structure of Th6SiGe3Se2 (PBE-GGA, the Alexandria database).

As for the total magnetization: 0.0 μB/f.u. Its crystal system is monoclinic. The calculation puts the formation energy from raw total energies at -1.069 eV/atom. As for the total energy: -0.256 Ha/atom.

The space group is C2/m (No. 12) and the conventional cell measures 18.610, 4.285 and 8.523 Å, with angles of 90.00, 102.79 and 90.00 degrees. The distinct sites, in fractional coordinates, are Th at (0.002, 0.000, 0.255), Th at (0.163, 0.500, 0.088), Th at (0.164, 0.500, 0.575), Si at (0.000, 0.500, 0.500), Ge at (0.000, 0.500, 0.000), Ge at (0.169, 0.000, 0.332) and Se at (0.167, 0.000, 0.834).

# Li3HfCo

A relaxed structure of Li3HfCo (PBE-GGA, the Alexandria database).

The value obtained for the energy of formation is 777 meV per atom. As for the total magnetization: 0.0 μB/f.u. Its crystal system is cubic. As for the total energy: -0.139 Ha/atom. Its energy relative to the lowest polymorph listed for this composition is 0.0 meV per atom.

The space group is Pm-3m (No. 221) and the conventional cell measures 4.278, 4.278 and 4.278 Å, with angles of 90.00, 90.00 and 90.00 degrees. The distinct sites, in fractional coordinates, are Li at (0.000, 0.000, 0.500), Hf at (0.500, 0.500, 0.500) and Co at (0.000, 0.000, 0.000).

# LiHfO2F

A relaxed structure of LiHfO2F (PBE-GGA, the Alexandria database).

As for the total magnetization: 0.0 μB/f.u. Its crystal system is tetragonal. The calculation puts the formation energy from raw total energies at -2.919 eV/atom. As for the total energy: -0.281 Ha/atom.

The space group is P4/mmm (No. 123) and the conventional cell measures 4.074, 4.074 and 4.153 Å, with angles of 90.00, 90.00 and 90.00 degrees. The distinct sites, in fractional coordinates, are Li at (0.000, 0.000, 0.000), Hf at (0.500, 0.500, 0.500), O at (0.000, 0.500, 0.500) and F at (0.500, 0.500, 0.000).

# Rb2TiOsCl6

A relaxed structure of Rb2TiOsCl6 (PBE-GGA, the Alexandria database).

As for the total magnetization: 2.0 μB/f.u. Its crystal system is tetragonal. The calculation puts the formation energy from raw total energies at -1.008 eV/atom. As for the total energy: -0.155 Ha/atom.

The space group is I4/mmm (No. 139) and the conventional cell measures 7.297, 7.297 and 9.094 Å, with angles of 90.00, 90.00 and 90.00 degrees. The distinct sites, in fractional coordinates, are Rb at (0.000, 0.500, 0.250), Ti at (0.000, 0.000, 0.000), Os at (0.000, 0.000, 0.500), Cl at (0.000, 0.000, 0.249) and Cl at (0.244, 0.244, 0.500).